Material: HgOsRh2
Method: DFT, PBE
State: relaxed

Lattice parameters (Å, degrees): 4.8440 4.8440 4.9138 80.37 80.37 33.65
With the nearest neighbours (Å) after each atom.
Fractional positions:
Hg 0.5005 0.5005 0.5134  7 Rh 2.72-2.86, 2 Hg 2.80, 3 Os 2.89-2.96
Os 0.2602 0.2602 0.2087  5 Rh 2.63-2.76, 2 Os 2.80, 1 Hg 2.89
Rh 0.9966 0.9966 0.0220  3 Os 2.63-2.76, 4 Hg 2.80-2.86, 5 Rh 2.80-2.89
Rh 0.7427 0.7427 0.7560  2 Os 2.66, 3 Hg 2.72-2.85, 5 Rh 2.80-2.89

Total energy   -24.84 eV/cell
Size of the total moment   0.000 μB/f.u.